Here is RbSrMg after structural relaxation from Alexandria via LeMat-Bulk. Energies are from PBE.

a = 4.8439 Å, b = 27.0304 Å, c = 5.1065 Å
α = 90.00°, β = 90.00°, γ = 90.00°
With the nearest neighbours (Å) after each atom.
Atoms (fractional coordinates):
Sr (0.0000, 0.5657, 0.2500)  6 Mg 3.61-3.62
Sr (0.0000, 0.4343, 0.7500)  6 Mg 3.61-3.62
Sr (0.5000, 0.0657, 0.2500)  6 Mg 3.61-3.62
Sr (0.5000, 0.9343, 0.7500)  6 Mg 3.61-3.62
Mg (0.0000, 0.9664, 0.2500)  2 Mg 3.13
Mg (0.0000, 0.0336, 0.7500)  2 Mg 3.13
Mg (0.5000, 0.4664, 0.2500)  2 Mg 3.13
Mg (0.5000, 0.5336, 0.7500)  2 Mg 3.13
Rb (0.0000, 0.8165, 0.2500)  1 Mg 4.05
Rb (0.0000, 0.1835, 0.7500)  1 Mg 4.05
Rb (0.5000, 0.3165, 0.2500)  1 Mg 4.05
Rb (0.5000, 0.6835, 0.7500)  1 Mg 4.05

Properties
SG ... Cmcm (63)
Uncorrected energy ... -1.3737 eV per atom
Total magnetic moment ... 0.00 μB/cell
ΔE_f ... 0.0410 eV per atom
D(E_F) ... 10.82 states/eV/cell